## DyPd2Pt4 (PBE)

Data for a geometry-optimized DyPd2Pt4 structure.

Results
Space-group type ... Cm (8)
Size of the total moment ... 0.00 μB per formula unit
D(E_F) ... 7.7 states/eV/f.u.
Final energy ... -81.800 eV/cell
V ... 20.6 Å³ per atom

Structure (extended XYZ):
```
14
Lattice="7.459 -2.723 0.000 7.459 2.723 0.000 -5.090 0.000 7.081" Properties=species:S:1:pos:R:3 pbc="T T T"
Dy 0.000 0.000 0.000
Dy -1.538 0.000 4.254
Pd -0.006 1.362 6.246
Pd 4.287 0.000 3.962
Pd -0.006 -1.362 6.246
Pd 8.250 0.000 1.443
Pt 5.845 1.319 1.883
Pt 3.527 0.000 1.187
Pt 4.636 1.320 6.377
Pt 2.294 0.000 5.809
Pt 7.137 0.000 3.921
Pt 5.845 -1.319 1.883
Pt 11.115 0.000 1.276
Pt 4.636 -1.320 6.377
```